{
  "formula": "CoMo2C",
  "functional": "GGA-PBE",
  "state": "relaxed",
  "lattice_angstrom": [[4.397, -2.526, 0.000], [4.397, 2.526, 0.000], [-3.032, 0.000, 13.056]],
  "species": ["Co", "Co", "Co", "Co", "Co", "Co", "Mo", "Mo", "Mo", "Mo", "Mo", "Mo", "Mo", "Mo", "Mo", "Mo", "Mo", "Mo", "C", "C", "C", "C", "C", "C"],
  "frac_coords": [[0.026, 0.409, 0.750], [0.161, 0.839, 0.750], [0.409, 0.026, 0.250], [0.591, 0.974, 0.750], [0.839, 0.161, 0.250], [0.974, 0.591, 0.250], [0.029, 0.199, 0.092], [0.132, 0.304, 0.407], [0.199, 0.029, 0.592], [0.304, 0.132, 0.907], [0.369, 0.544, 0.119], [0.456, 0.631, 0.381], [0.544, 0.369, 0.619], [0.631, 0.456, 0.881], [0.696, 0.868, 0.093], [0.801, 0.971, 0.408], [0.868, 0.696, 0.593], [0.971, 0.801, 0.908], [0.000, 0.500, 0.000], [0.195, 0.651, 0.500], [0.349, 0.805, 0.000], [0.500, 0.000, 0.500], [0.651, 0.195, 0.000], [0.805, 0.349, 0.500]],
  "vol_a3_per_fu": 48,
  "space_group": "C2/c",
  "final_energy_ev_per_atom": -9.365
}